Material: K2ReAg
Method: DFT, PBE
State: optimized geometry

- Total magnetic moment: 0.7 μB/f.u.
- SG: No. 71
- Polymorph energy (0 for the lowest one): 277 meV per atom
- N(E_F): 2.606 states/eV/cell
- DFT total energy: -3.114 eV per atom

Cell and atoms, written as POSCAR:
```
K2ReAg
1.0
6.648 -0.003 0.009
3.846 5.423 -0.009
-4.446 -4.261 2.505
K Re Ag
2 1 1
Direct
0.014 0.014 0.000
0.486 0.486 0.000
0.750 0.250 0.500
0.250 0.750 0.500
```